The following is a PBE+U calculation of a relaxed Mn2HSeO crystal, from the Alexandria database.

Cell lengths 3.3753, 3.8151, 6.0072 Å; angles 90.00, 90.00, 90.00 degrees
With the nearest neighbours (Å) after each atom.
Atoms (fractional coordinates):
H (0.5000, 0.5000, 0.2201)  2 Mn 1.89
Mn (0.5000, 0.0000, 0.7539)  2 O 2.12
Mn (0.0000, 0.5000, 0.3624)  2 H 1.89
Se (0.0000, 0.0000, 0.0739)  4 Mn 2.56-2.58, 4 H 2.69
O (0.5000, 0.5000, 0.5998)  4 Mn 2.12-2.21, 1 H 2.28

For the electronic total energy, the calculation gives -29.18 eV/f.u. For the energy above the lowest structure with this stoichiometry, the calculation gives 208 meV per atom.